No. 1
A relaxed PrEr2O crystal. Source: Alexandria, functional PBE-GGA.

Unit cell a=3.4567 b=3.4567 c=28.2595 alpha=90.00 beta=90.00 gamma=120.00
Space group R-3m (No. 166, hexagonal axes)
Inequivalent atoms, fractional coordinates:
Pr (0.0000, 0.0000, 0.0000) [3 per cell]
Er (0.0000, 0.0000, 0.1205) [6 per cell]
O (0.0000, 0.0000, 0.5000) [3 per cell]

Properties
- energy above the lowest structure with this stoichiometry (meV per atom) = 0
- Fermi-level density of states (states/eV per atom) = 0.95


No. 2
A relaxed PrErO4 crystal. Source: Alexandria, functional PBE-GGA.

Unit cell a=6.692 b=3.936 c=6.404 alpha=90.00 beta=97.68 gamma=90.00
Space group Cm (No. 8)
Inequivalent atoms, fractional coordinates:
Pr (0.000, 0.000, 0.000) [2 per cell]
Er (0.390, 0.000, 0.460) [2 per cell]
O (0.048, 0.000, 0.387) [2 per cell]
O (0.116, 0.500, 0.785) [2 per cell]
O (0.284, 0.500, 0.649) [2 per cell]
O (0.349, 0.000, 0.104) [2 per cell]

Properties
- Fermi-level density of states (states/eV per atom) = 0.00


No. 3
A relaxed PrEr2O crystal. Source: Alexandria, functional PBE-GGA.

Unit cell a=3.199 b=3.199 c=8.775 alpha=90.00 beta=90.00 gamma=90.00
Space group P4/mmm (No. 123)
Inequivalent atoms, fractional coordinates:
Pr (0.000, 0.000, 0.000) [1 per cell]
Er (0.500, 0.500, 0.325) [2 per cell]
O (0.000, 0.000, 0.500) [1 per cell]

Properties
- energy above the lowest structure with this stoichiometry (meV per atom) = 440
- Fermi-level density of states (states/eV per atom) = 1.06


No. 4
A relaxed Pr3ErO crystal. Source: Alexandria, functional PBE-GGA.

Unit cell a=5.129 b=5.129 c=5.129 alpha=90.00 beta=90.00 gamma=90.00
Space group Pm-3m (No. 221)
Inequivalent atoms, fractional coordinates:
Pr (0.000, 0.000, 0.500) [3 per cell]
Er (0.500, 0.500, 0.500) [1 per cell]
O (0.000, 0.000, 0.000) [1 per cell]

Properties
- Fermi-level density of states (states/eV per atom) = 0.81


No. 5
A relaxed PrErO2 crystal. Source: Alexandria, functional PBE-GGA.

Unit cell a=3.4400 b=3.4400 c=18.3692 alpha=90.00 beta=90.00 gamma=120.00
Space group R3m (No. 160, hexagonal axes)
Inequivalent atoms, fractional coordinates:
Pr (0.0000, 0.0000, 0.0000) [3 per cell]
Er (0.0000, 0.0000, 0.1766) [3 per cell]
O (0.0000, 0.0000, 0.5713) [3 per cell]
O (0.0000, 0.0000, 0.7733) [3 per cell]

Properties
- energy above the lowest structure with this stoichiometry (meV per atom) = 112
- Fermi-level density of states (states/eV per atom) = 0.16


No. 6
A relaxed Pr2ErO crystal. Source: Alexandria, functional PBE-GGA.

Unit cell a=3.278 b=3.278 c=9.149 alpha=90.00 beta=90.00 gamma=90.00
Space group P4/mmm (No. 123)
Inequivalent atoms, fractional coordinates:
Pr (0.000, 0.000, 0.172) [2 per cell]
Er (0.500, 0.500, 0.500) [1 per cell]
O (0.500, 0.500, 0.000) [1 per cell]

Properties
- energy above the lowest structure with this stoichiometry (meV per atom) = 295
- Fermi-level density of states (states/eV per atom) = 1.26


No. 7
A relaxed Pr2ErO crystal. Source: Alexandria, functional PBE-GGA.

Unit cell a=3.6618 b=3.6618 c=27.9807 alpha=90.00 beta=90.00 gamma=120.00
Space group R-3m (No. 166, hexagonal axes)
Inequivalent atoms, fractional coordinates:
Pr (0.0000, 0.0000, 0.1178) [6 per cell]
Er (0.0000, 0.0000, 0.0000) [3 per cell]
O (0.0000, 0.0000, 0.5000) [3 per cell]

Properties
- energy above the lowest structure with this stoichiometry (meV per atom) = 0
- Fermi-level density of states (states/eV per atom) = 1.01


No. 8
A relaxed PrErO crystal. Source: Alexandria, functional PBE-GGA.

Unit cell a=3.5698 b=3.5698 c=6.0587 alpha=90.00 beta=90.00 gamma=120.00
Space group P3m1 (No. 156)
Inequivalent atoms, fractional coordinates:
Pr (0.0000, 0.0000, 0.0000) [1 per cell]
Er (0.3333, 0.6667, 0.4634) [1 per cell]
O (0.6667, 0.3333, 0.2863) [1 per cell]

Properties
- Fermi-level density of states (states/eV per atom) = 0.47


No. 9
A relaxed PrEr2PuO8 crystal. Source: Alexandria, functional PBE-GGA.

Unit cell a=5.103 b=7.081 c=5.109 alpha=90.00 beta=90.14 gamma=90.00
Space group P2/m (No. 10)
Inequivalent atoms, fractional coordinates:
Pr (0.000, 0.000, 0.000) [1 per cell]
Er (0.500, 0.242, 0.500) [2 per cell]
Pu (0.000, 0.500, 0.000) [1 per cell]
O (0.188, 0.286, 0.189) [4 per cell]
O (0.279, 0.500, 0.722) [2 per cell]
O (0.319, 0.000, 0.682) [2 per cell]


No. 10
A relaxed PrErPuO6 crystal. Source: Alexandria, functional PBE-GGA.

Unit cell a=5.7483 b=5.7483 c=9.8876 alpha=90.00 beta=90.00 gamma=120.00
Space group P-31c (No. 163)
Inequivalent atoms, fractional coordinates:
Pr (0.0000, 0.0000, 0.0000) [2 per cell]
Er (0.3333, 0.6667, 0.2500) [2 per cell]
Pu (0.3333, 0.6667, 0.7500) [2 per cell]
O (0.0226, 0.3652, 0.6381) [12 per cell]

Properties
- Fermi-level density of states (states/eV per atom) = 0.85


No. 11
A relaxed PrErReO6 crystal. Source: Alexandria, functional PBE-GGA.

Unit cell a=5.4981 b=5.4981 c=5.0577 alpha=90.00 beta=90.00 gamma=120.00
Space group P312 (No. 149)
Inequivalent atoms, fractional coordinates:
Pr (0.0000, 0.0000, 0.0000) [1 per cell]
Er (0.3333, 0.6667, 0.5000) [1 per cell]
Re (0.6667, 0.3333, 0.5000) [1 per cell]
O (0.3763, 0.0395, 0.7171) [6 per cell]

Properties
- Fermi-level density of states (states/eV per atom) = 0.49


No. 12
A relaxed PrEr2ReO8 crystal. Source: Alexandria, functional PBE-GGA.

Unit cell a=7.113 b=7.183 c=6.863 alpha=90.00 beta=90.00 gamma=90.00
Space group Cmmm (No. 65)
Inequivalent atoms, fractional coordinates:
Pr (0.000, 0.000, 0.000) [2 per cell]
Er (0.000, 0.500, 0.248) [4 per cell]
Re (0.000, 0.000, 0.500) [2 per cell]
O (0.000, 0.266, 0.500) [4 per cell]
O (0.000, 0.318, 0.000) [4 per cell]
O (0.186, 0.000, 0.300) [8 per cell]


Looking at uncorrected energy for the records above, in order, we have -71.2 -93.0 -22.0 -29.3 -90.3 -22.3 -70.4 -19.5 -104.5 -161.8 -75.0 -198.3 eV per cell.
Looking at formation energy from raw total energies for the records above, in order, we have -1.220 -2.884 -0.781 -1.095 -2.712 -0.800 -1.095 -1.743 -3.053 -3.051 -2.604 -2.761 eV per atom.